# BaMnTc2 (PBE-GGA, relaxed)
data_BaMnTc2
_chemical_formula_sum 'Ba2 Mn2 Tc4'
_space_group_name_H-M_alt 'I m m 2'
_space_group_IT_number 44
_cell_length_a 3.187
_cell_length_b 5.514
_cell_length_c 10.046
_cell_angle_alpha 90.00
_cell_angle_beta 90.00
_cell_angle_gamma 90.00
loop_
_space_group_symop_operation_xyz
'x,y,z'
'-x,-y,z'
'-x,y,z'
'x,-y,z'
'x+1/2,y+1/2,z+1/2'
'-x+1/2,-y+1/2,z+1/2'
'-x+1/2,y+1/2,z+1/2'
'x+1/2,-y+1/2,z+1/2'
loop_
_atom_site_label
_atom_site_type_symbol
_atom_site_fract_x
_atom_site_fract_y
_atom_site_fract_z
Ba1 Ba 0.000 0.000 0.000
Mn1 Mn 0.000 0.500 0.802
Tc1 Tc 0.000 0.000 0.528
Tc2 Tc 0.000 0.500 0.205
# Polymorph energy (0 for the lowest one)   2.06 eV per formula unit
# Total magnetic moment   6.24 μB/cell
# ΔH_f (0 K)   0.993 eV per atom